The following is a GGA-PBE calculation of a relaxed structure of BiSb2C2, from Alexandria via LeMat-Bulk.

POSCAR file:
```
BiSb2C2
1.0
8.5512 0.0000 0.0000
0.0000 8.5512 0.0000
0.0000 0.0000 3.2209
Sb C Bi
4 4 2
direct
0.3327 0.8327 0.0000
0.8327 0.6673 0.0000
0.6673 0.1673 0.0000
0.1673 0.3327 0.0000
0.0545 0.5545 0.5000
0.5545 0.9455 0.5000
0.9455 0.4455 0.5000
0.4455 0.0545 0.5000
0.0000 0.0000 0.0000
0.5000 0.5000 0.0000
```

N(E_F) = 3.93 states/eV/f.u.
formation energy (no corrections) = 1.23 eV/atom
excess energy over the best structure of this formula in the dataset = 0.000 eV per formula unit
space group = P4/mbm, No. 127

---

The following is a GGA-PBE calculation of a relaxed structure of BiSbC2, from Alexandria via LeMat-Bulk.

POSCAR file:
```
BiSbC2
1.0
-3.2009 -2.8558 -1.3863
-4.0681 0.0589 1.9417
-3.5656 1.5470 -2.2839
Sb C Bi
1 2 1
direct
0.0000 0.0000 0.0000
0.2500 0.2500 0.2500
0.7500 0.7500 0.7500
0.5000 0.5000 0.5000
```

N(E_F) = 2.29 states/eV/f.u.
formation energy (no corrections) = 2.24 eV/atom
excess energy over the best structure of this formula in the dataset = 3.027 eV per formula unit
space group = Fm-3m, No. 225

---

The following is a GGA-PBE calculation of a relaxed structure of BiSb2C, from Alexandria via LeMat-Bulk.

POSCAR file:
```
BiSb2C
1.0
0.0000 3.6247 3.6247
3.6247 0.0000 3.6247
3.6247 3.6247 0.0000
Sb C Bi
2 1 1
direct
0.2500 0.2500 0.2500
0.7500 0.7500 0.7500
0.0000 0.0000 0.0000
0.5000 0.5000 0.5000
```

N(E_F) = 3.36 states/eV/f.u.
formation energy (no corrections) = 1.56 eV/atom
excess energy over the best structure of this formula in the dataset = 2.823 eV per formula unit
space group = Fm-3m, No. 225

---

The following is a GGA-PBE calculation of a relaxed structure of BiSbC2, from Alexandria via LeMat-Bulk.

POSCAR file:
```
BiSbC2
1.0
-2.1412 -5.0511 -1.4437
4.1704 -2.5824 2.8498
-1.6577 -3.8048 4.6245
Sb C Bi
2 4 2
direct
0.5000 0.5000 0.0000
0.2500 0.7500 0.5000
0.5715 0.1250 0.2500
0.1785 0.6250 0.2500
0.3750 0.4285 0.7500
0.8750 0.8215 0.7500
0.0000 0.0000 0.0000
0.7500 0.2500 0.5000
```

N(E_F) = 0.66 states/eV/f.u.
formation energy (no corrections) = 1.48 eV/atom
excess energy over the best structure of this formula in the dataset = 0.000 eV per formula unit
space group = I-42d, No. 122

---

The following is a GGA-PBE calculation of a relaxed structure of BiSb2C, from Alexandria via LeMat-Bulk.

POSCAR file:
```
BiSb2C
1.0
-2.2709 -4.8965 -4.2975
-1.3334 -4.1055 5.3822
-5.7284 -2.8988 0.7916
Sb C Bi
4 2 2
direct
0.5223 0.1250 0.2500
0.2277 0.6250 0.2500
0.3750 0.4777 0.7500
0.8750 0.7723 0.7500
0.5000 0.5000 0.0000
0.2500 0.7500 0.5000
0.0000 0.0000 0.0000
0.7500 0.2500 0.5000
```

N(E_F) = 2.77 states/eV/f.u.
formation energy (no corrections) = 0.86 eV/atom
excess energy over the best structure of this formula in the dataset = 0.000 eV per formula unit
space group = I-42d, No. 122

---

The following is a GGA-PBE calculation of a relaxed structure of BiSb3C, from Alexandria via LeMat-Bulk.

POSCAR file:
```
BiSb3C
1.0
-1.3575 -4.6993 -0.3729
3.7841 -1.3177 2.8302
-2.8113 0.4956 3.9895
Sb C Bi
3 1 1
direct
0.0000 0.5000 0.0000
0.0000 0.0000 0.5000
0.5000 0.0000 0.0000
0.0000 0.0000 0.0000
0.5000 0.5000 0.5000
```

N(E_F) = 4.87 states/eV/f.u.
formation energy (no corrections) = 0.86 eV/atom
excess energy over the best structure of this formula in the dataset = 0.000 eV per formula unit
space group = Pm-3m, No. 221

---

The following is a GGA-PBE calculation of a relaxed structure of BiSb2C2, from Alexandria via LeMat-Bulk.

POSCAR file:
```
BiSb2C2
1.0
-3.6463 -1.1408 0.0392
1.1319 -3.5967 0.6172
-1.5367 -1.2296 7.4792
Sb C Bi
2 2 1
direct
0.3348 0.3348 0.3305
0.6652 0.6652 0.6695
0.7500 0.2500 0.5000
0.2500 0.7500 0.5000
0.0000 0.0000 0.0000
```

N(E_F) = 2.69 states/eV/f.u.
formation energy (no corrections) = 1.36 eV/atom
excess energy over the best structure of this formula in the dataset = 0.669 eV per formula unit
space group = I4/mmm, No. 139

---

The following is a GGA-PBE calculation of a relaxed structure of SiBiSb2C, from Alexandria via LeMat-Bulk.

POSCAR file:
```
SiBiSb2C
1.0
-0.2630 5.3666 -2.4197
-3.4990 -1.2127 -2.3093
-3.5121 1.8008 4.3757
C Sb Si Bi
1 2 1 1
direct
0.0000 0.5000 0.0000
0.0000 0.0000 0.5000
0.5000 0.0000 0.0000
0.5000 0.5000 0.5000
0.0000 0.0000 0.0000
```

N(E_F) = 3.31 states/eV/f.u.
formation energy (no corrections) = 1.93 eV/atom
space group = P4/mmm, No. 123

---

The following is a GGA-PBE calculation of a relaxed structure of Sm5Bi2SbC, from Alexandria via LeMat-Bulk.

POSCAR file:
```
Sm5Bi2SbC
1.0
-3.8501 1.4865 -2.4976
-0.9417 -4.5597 -1.2621
-6.5742 -1.2427 9.3945
Sm Bi Sb C
5 2 1 1
direct
0.0000 0.5000 0.5000
0.5000 0.0000 0.5000
0.0000 0.0000 0.7333
0.0000 0.0000 0.2667
0.5000 0.5000 0.0000
0.5000 0.5000 0.2886
0.5000 0.5000 0.7114
0.0000 0.0000 0.0000
0.0000 0.0000 0.5000
```

N(E_F) = 7.90 states/eV/f.u.
formation energy (no corrections) = -0.69 eV/atom
space group = P4/mmm, No. 123

---

The following is a GGA-PBE calculation of a relaxed structure of SnBiSbC2, from Alexandria via LeMat-Bulk.

POSCAR file:
```
SnBiSbC2
1.0
-2.7554 -0.3761 3.4100
2.6022 -5.0324 1.5476
2.8228 2.2370 2.5277
Sb C Bi Sn
1 2 1 1
direct
0.0000 0.0000 0.0000
0.0000 0.0000 0.5000
0.5000 0.0000 0.0000
0.5000 0.5000 0.5000
0.0000 0.5000 0.0000
```

N(E_F) = 3.74 states/eV/f.u.
formation energy (no corrections) = 2.05 eV/atom
space group = P4/mmm, No. 123

---

The following is a GGA-PBE calculation of a relaxed structure of Tb4BiSbC, from Alexandria via LeMat-Bulk.

POSCAR file:
```
Tb4BiSbC
1.0
6.8644 0.0000 0.0000
0.0000 6.8741 0.0000
-3.4322 0.0000 7.9622
Tb Bi Sb C
8 2 2 2
direct
0.9069 0.2500 0.8137
0.4036 0.7500 0.8073
0.0931 0.7500 0.1863
0.5964 0.2500 0.1927
0.5000 0.5000 0.5000
0.0000 0.0000 0.5000
0.5000 0.0000 0.5000
0.0000 0.5000 0.5000
0.6051 0.7500 0.2103
0.3949 0.2500 0.7897
0.1090 0.2500 0.2181
0.8910 0.7500 0.7819
0.2489 0.7500 0.4977
0.7511 0.2500 0.5023
```

N(E_F) = 5.08 states/eV/f.u.
formation energy (no corrections) = -0.71 eV/atom
space group = Cmcm, No. 63

---

The following is a GGA-PBE calculation of a relaxed structure of Sc5BiC, from Alexandria via LeMat-Bulk.

POSCAR file:
```
Sc5BiC
1.0
-2.9935 -3.4964 4.8469
-1.0000 -6.3087 -1.9693
5.8791 -5.0944 3.8214
Sc Bi C
10 2 2
direct
0.9159 0.6799 0.1380
0.1709 0.6430 0.4752
0.6799 0.9159 0.6380
0.9446 0.0554 0.2500
0.3570 0.8291 0.0248
0.6430 0.1709 0.9752
0.0554 0.9446 0.7500
0.3201 0.0841 0.3620
0.8291 0.3570 0.5248
0.0841 0.3201 0.8620
0.5731 0.4269 0.2500
0.4269 0.5731 0.7500
0.0000 0.0000 0.0000
0.0000 0.0000 0.5000
```

N(E_F) = 7.39 states/eV/f.u.
energy of formation = -0.22 eV/atom
space group = C2/c, No. 15